! NdW4Se8 | Alexandria | PBE | relaxed; values from VASP
&SYSTEM
  ibrav = 0, nat = 13, ntyp = 3
/
ATOMIC_SPECIES
Se 78.96 Se.upf
W 183.84 W.upf
Nd 144.24 Nd.upf
CELL_PARAMETERS angstrom
-3.798 -0.893 5.485
-2.439 -1.568 -6.074
6.121 -6.096 -0.884
ATOMIC_POSITIONS angstrom
Se 4.086 -5.165 -2.142
Se -1.034 -2.142 0.968
Se -4.201 -3.392 0.669
Se -2.962 -2.595 3.753
Se -2.282 -2.928 -2.057
Se 2.166 -5.629 0.583
Se 2.847 -5.962 -5.227
Se 0.918 -6.415 -2.442
W -1.899 -0.447 2.742
W -3.118 -1.231 -0.295
W 0.000 0.000 0.000
W -1.219 -0.784 -3.037
Nd 1.841 -3.832 -3.479
! Uncorrected formation energy: -312 meV/atom
! Calculated total energy: -6.809 eV per atom
! Space group: R-3m
! Volume: 23.44 Å³/atom
! Density: 8.236 g/cm³

---

! Li3Tb | Alexandria | PBE | relaxed; values from VASP
&SYSTEM
  ibrav = 0, nat = 8, ntyp = 2
/
ATOMIC_SPECIES
Tb 158.93 Tb.upf
Li 6.94 Li.upf
CELL_PARAMETERS angstrom
3.284 -5.688 0.000
3.284 5.688 0.000
0.000 0.000 5.056
ATOMIC_POSITIONS angstrom
Tb 3.284 1.896 3.792
Tb 3.284 -1.896 1.264
Li 3.284 3.967 1.264
Li 5.078 -0.861 3.792
Li 1.491 -0.861 3.792
Li 3.284 -3.967 3.792
Li 1.491 0.861 1.264
Li 5.078 0.861 1.264
! Energy relative to the lowest polymorph listed for this composition: 170 meV/atom
! Calculated total energy: -2.379 eV per atom
! Space group: P6_3/mmc
! Formation enthalpy at 0 K: 214 meV per atom
! Volume: 23.61 Å³/atom
! Density: 3.160 g/cm³

---

! CaMgH2O | Alexandria | PBE | relaxed; values from VASP
&SYSTEM
  ibrav = 0, nat = 5, ntyp = 4
/
ATOMIC_SPECIES
Mg 24.30 Mg.upf
H 1.01 H.upf
Ca 40.08 Ca.upf
O 16.00 O.upf
CELL_PARAMETERS angstrom
3.648 0.000 0.000
0.000 3.648 0.000
0.000 0.000 4.091
ATOMIC_POSITIONS angstrom
Mg 0.000 0.000 0.000
H 0.000 1.824 0.000
H 1.824 0.000 0.000
Ca 1.824 1.824 2.046
O 0.000 0.000 2.046
! Calculated total energy: -4.326 eV per atom
! Space group: P4/mmm
! Volume: 10.89 Å³/atom
! Density: 2.514 g/cm³

---

! MnSbRh2 | Alexandria | PBE | relaxed; values from VASP
&SYSTEM
  ibrav = 0, nat = 4, ntyp = 3
/
ATOMIC_SPECIES
Rh 102.91 Rh.upf
Mn 54.94 Mn.upf
Sb 121.76 Sb.upf
CELL_PARAMETERS angstrom
4.990 -0.014 -0.033
1.983 4.579 0.033
-3.469 -2.310 2.745
ATOMIC_POSITIONS angstrom
Rh 2.504 -0.021 1.356
Rh 6.973 4.565 0.000
Mn 1.000 2.276 1.389
Sb 3.487 2.283 0.000
! Uncorrected formation energy: -203 meV/atom
! Calculated total energy: -7.202 eV per atom
! Space group: I-4m2
! Volume: 15.70 Å³/atom
! Density: 10.115 g/cm³